Compound: NiPb2W
Source: Alexandria
Functional: GGA-PBE
Structure: optimized geometry

**Spin magnetization**: 0.0 μB/f.u.
**N(E_F)**: 3.11 states/eV/f.u.
**Distance to the lowest polymorph of the same formula**: 178 meV/atom
**Calculated formation energy**: 223 kJ/mol of formula units

Cell lengths 4.185, 3.818, 10.341 Å; angles 90.00, 90.00, 90.00 degrees
Space group Amm2 (No. 38)
Symmetry-distinct sites (fractional):
1 Ni 0.000 0.000 0.000 (multiplicity 2)
2 Pb 0.000 0.000 0.290 (multiplicity 2)
3 Pb 0.500 0.000 0.589 (multiplicity 2)
4 W 0.500 0.000 0.875 (multiplicity 2)